Crystalline ErMo5 at its relaxed geometry, computed with PBE.

## Properties
Energy of formation   0.20 eV per atom
Crystal system   orthorhombic
Energy   -9.586 eV per atom
M_tot   0.000 μB/cell

Unit cell a=4.6826 b=13.6734 c=3.2112 alpha=90.00 beta=90.00 gamma=90.00
Space group Cmmm (No. 65)
Inequivalent atoms, fractional coordinates:
Er 0.0000 0.0000 0.0000
Mo 0.0000 0.1773 0.5000
Mo 0.0000 0.3314 0.0000
Mo 0.0000 0.5000 0.5000